# KNi3Sn5 | OQMD | GGA-PBE | relaxed
# - Total moment: 0.001 μB/atom
# - Calculated density: 6.41 g/cm³
# - Crystal system: hexagonal
# - Calculated total energy: -4.41 eV/atom
data_KNi3Sn5
_symmetry_space_group_name_H-M 'P 6/m m m'
_symmetry_Int_Tables_number 191
_symmetry_space_group_name_Hall '-P 6 2'
_cell_length_a 5.2144
_cell_length_b 5.2144
_cell_length_c 8.8926
_cell_angle_alpha 90.00
_cell_angle_beta 90.00
_cell_angle_gamma 120.00
loop_
_atom_site_label
_atom_site_fract_x
_atom_site_fract_y
_atom_site_fract_z
K1 0.0000 0.0000 0.0000
Ni1 0.0000 0.5000 0.5000
Sn1 0.0000 0.0000 0.5000
Sn2 0.3333 0.6667 0.2461